Entry 1:
Crystalline Fe3WO at its relaxed geometry, computed with GGA+U.

Lattice parameters (Å, degrees): 4.1497 4.1497 4.1497 90.00 90.00 90.00
Last column: nearest neighbours and their distance in Å.
Fractional coordinates of all 5 atoms:
Fe  0.5000  0.0000  0.0000  2 O 2.07
Fe  0.0000  0.5000  0.0000  2 O 2.07
Fe  0.0000  0.0000  0.5000  2 O 2.07
O  0.0000  0.0000  0.0000  6 Fe 2.07
W  0.5000  0.5000  0.5000  12 Fe 2.93

## Properties
- energy above the most stable polymorph in this dataset (eV per atom) = 0.000
- volume (Å³/cell) = 71.5
- SG = Pm-3m (221)
- total DFT energy (no corrections) (eV/atom) = -5.182

Entry 2:
Crystalline Fe2WO5 at its relaxed geometry, computed with GGA+U.

Lattice parameters (Å, degrees): 5.2925 5.7885 5.7885 78.30 60.68 60.68
Last column: nearest neighbours and their distance in Å.
Fractional coordinates of all 8 atoms:
O  0.0606  0.8328  0.2911  1 W 1.89
O  0.4085  0.7782  0.7782  1 W 1.91, 2 Fe 2.11
O  0.7414  0.9142  0.9142  1 W 1.85
O  0.0606  0.2911  0.8328  1 W 1.89
O  0.5980  0.2838  0.2838  1 W 1.95, 2 Fe 2.03
W  0.9671  0.0089  0.0089  5 O 1.85-1.95
Fe  0.5819  0.0619  0.6061  5 O 2.03-2.18
Fe  0.5819  0.6061  0.0619  5 O 2.03-2.18

## Properties
- volume (Å³/cell) = 134.7
- SG = Cm (8)
- total DFT energy (no corrections) (eV/atom) = -6.988

Entry 3:
Crystalline FeWO2 at its relaxed geometry, computed with GGA+U.

Lattice parameters (Å, degrees): 6.9525 6.9525 6.9525 23.46 23.46 23.46
Last column: nearest neighbours and their distance in Å.
Fractional coordinates of all 4 atoms:
Fe  0.0000  0.0000  0.0000  2 O 1.95
O  0.0960  0.0960  0.0960  1 Fe 1.95, 3 W 2.17
O  0.9040  0.9040  0.9040  1 Fe 1.95, 3 W 2.17
W  0.5000  0.5000  0.5000  6 O 2.17

## Properties
- energy above the most stable polymorph in this dataset (eV per atom) = 0.117
- volume (Å³/cell) = 46.8
- SG = R-3m (166)
- total DFT energy (no corrections) (eV/atom) = -6.414

Entry 4:
Crystalline FeWO2 at its relaxed geometry, computed with GGA+U.

Lattice parameters (Å, degrees): 6.4725 6.4725 6.4725 26.82 26.82 26.82
Last column: nearest neighbours and their distance in Å.
Fractional coordinates of all 4 atoms:
O  0.1032  0.1032  0.1032  1 W 1.93, 3 Fe 2.10
O  0.8968  0.8968  0.8968  1 W 1.93, 3 Fe 2.10
W  0.0000  0.0000  0.0000  2 O 1.93
Fe  0.5000  0.5000  0.5000  6 O 2.10

## Properties
- energy above the most stable polymorph in this dataset (eV per atom) = 0.000
- volume (Å³/cell) = 48.7
- SG = R-3m (166)
- total DFT energy (no corrections) (eV/atom) = -6.531